No. 1
A plane-wave DFT calculation with PBE was carried out for a relaxed CrRe3W crystal.

Properties
Excess energy over the best structure of this formula in the dataset   992 meV/atom
Final energy   -9.38 eV/atom
DOS(E_F)   9.25 states/eV/cell
ΔH_f (0 K)   2.603 eV per atom

Cell: 4.6776 4.6776 4.6776 Å, 90.00 90.00 90.00°
With the nearest neighbours (Å) after each atom.
Fractional coordinates of all 5 atoms:
W1 0.0000 0.0000 0.0000  6 Re 2.34
Cr1 0.5000 0.5000 0.5000  12 Re 3.31
Re1 0.0000 0.0000 0.5000  2 W 2.34
Re2 0.5000 0.0000 0.0000  2 W 2.34
Re3 0.0000 0.5000 0.0000  2 W 2.34

***

No. 2
A plane-wave DFT calculation with PBE was carried out for a relaxed BeSi2Br crystal.

Properties
Excess energy over the best structure of this formula in the dataset   528 meV/atom
Final energy   -3.49 eV/atom
DOS(E_F)   2.21 states/eV/cell
ΔE_f (raw)   0.58 eV per atom

Cell: 4.4902 4.4866 4.4888 Å, 69.96 70.81 109.17°
With the nearest neighbours (Å) after each atom.
Fractional coordinates of all 4 atoms:
Be1 0.5000 0.5000 0.0000  2 Br 2.57, 4 Si 2.60
Si1 0.0000 0.0000 0.0000  2 Si 2.57, 2 Be 2.60, 2 Br 2.60
Si2 0.0000 0.5000 0.5000  2 Si 2.57, 2 Br 2.60, 2 Be 2.60
Br1 0.5000 0.0000 0.5000  2 Be 2.57, 4 Si 2.60

***

No. 3
A plane-wave DFT calculation with PBE was carried out for a relaxed K5Ni3 crystal.

Properties
Excess energy over the best structure of this formula in the dataset   0 meV/atom
Final energy   -2.10 eV/atom
DOS(E_F)   52.91 states/eV/cell
ΔH_f (0 K)   0.749 eV per atom

Cell: 9.7508 9.7508 6.7549 Å, 90.00 90.00 120.00°
With the nearest neighbours (Å) after each atom.
Fractional coordinates of all 16 atoms:
Ni1 0.5974 0.0000 0.2500  7 K 3.23-3.46
Ni2 0.5974 0.5974 0.7500  7 K 3.23-3.46
Ni3 0.4026 0.4026 0.2500  7 K 3.23-3.46
Ni4 0.4026 0.0000 0.7500  7 K 3.23-3.46
Ni5 0.0000 0.5974 0.2500  7 K 3.23-3.46
Ni6 0.0000 0.4026 0.7500  7 K 3.23-3.46
K1 0.0000 0.7340 0.7500  3 Ni 3.23-3.46
K2 0.7340 0.0000 0.7500  3 Ni 3.23-3.46
K3 0.7340 0.7340 0.2500  3 Ni 3.23-3.46
K4 0.2660 0.0000 0.2500  3 Ni 3.23-3.46
K5 0.3333 0.6667 0.0000  2 K 3.38, 6 Ni 3.42
K6 0.2660 0.2660 0.7500  3 Ni 3.23-3.46
K7 0.3333 0.6667 0.5000  2 K 3.38, 6 Ni 3.42
K8 0.0000 0.2660 0.2500  3 Ni 3.23-3.46
K9 0.6667 0.3333 0.0000  2 K 3.38, 6 Ni 3.42
K10 0.6667 0.3333 0.5000  2 K 3.38, 6 Ni 3.42

***

No. 4
A plane-wave DFT calculation with PBE was carried out for a relaxed ThAl2ZnPd4 crystal.

Properties
Final energy   -5.39 eV/atom
DOS(E_F)   4.15 states/eV/cell
ΔH_f (0 K)   -0.775 eV per atom

Cell: 4.3014 4.3014 9.0943 Å, 76.32 76.32 60.00°
With the nearest neighbours (Å) after each atom.
Fractional coordinates of all 8 atoms:
Al1 0.7637 0.7637 0.7089  7 Pd 2.60-2.73
Al2 0.2363 0.2363 0.2911  7 Pd 2.60-2.73
Th1 0.0000 0.0000 0.0000  6 Pd 3.06
Pd1 0.4012 0.4012 0.7963  1 Zn 2.59, 3 Al 2.60
Pd2 0.8678 0.8678 0.3966  3 Zn 2.64, 4 Al 2.65-2.73
Pd3 0.5988 0.5988 0.2037  1 Zn 2.59, 3 Al 2.60
Pd4 0.1322 0.1322 0.6034  3 Zn 2.64, 4 Al 2.65-2.73
Zn1 0.5000 0.5000 0.5000  8 Pd 2.59-2.64

***

No. 5
A plane-wave DFT calculation with PBE was carried out for a relaxed Pr7NdSn2 crystal.

Properties
Final energy   -4.48 eV/atom
DOS(E_F)   21.36 states/eV/cell
ΔH_f (0 K)   0.146 eV per atom

Cell: 5.7546 9.2075 9.2075 Å, 118.87 90.00 90.00°
With the nearest neighbours (Å) after each atom.
Fractional coordinates of all 10 atoms:
Pr1 0.5000 0.9437 0.6951  2 Sn 3.20-3.30, 2 Pr 3.38-3.58
Pr2 0.5000 0.0563 0.3049  2 Sn 3.20-3.30, 2 Pr 3.38-3.58
Pr3 0.5000 0.6951 0.9437  2 Sn 3.20-3.30, 2 Pr 3.38-3.58
Pr4 0.0000 0.2330 0.7670  2 Sn 3.09
Pr5 0.5000 0.3049 0.0563  2 Sn 3.20-3.30, 2 Pr 3.38-3.58
Pr6 0.5000 0.5000 0.5000  2 Sn 3.12
Pr7 0.0000 0.7670 0.2330  2 Sn 3.09
Sn1 0.5000 0.6967 0.3033  7 Pr 3.09-3.30
Sn2 0.5000 0.3033 0.6967  7 Pr 3.09-3.30
Nd1 0.0000 0.0000 0.0000  10 Pr 3.70-3.88

***

No. 6
A plane-wave DFT calculation with PBE was carried out for a relaxed TbDyS crystal.

Properties
Excess energy over the best structure of this formula in the dataset   2 meV/atom
Final energy   -5.73 eV/atom
DOS(E_F)   1.67 states/eV/cell
ΔE_f (raw)   -1.28 eV per atom

Cell: 3.7804 3.7804 6.3308 Å, 90.00 90.00 120.00°
With the nearest neighbours (Å) after each atom.
Fractional coordinates of all 3 atoms:
Dy1 0.6667 0.3333 0.4034  3 S 2.74
S1 0.3333 0.6667 0.6655  3 Dy 2.74, 3 Tb 2.76
Tb1 0.0000 0.0000 0.9311  3 S 2.76

***

No. 7
A plane-wave DFT calculation with PBE was carried out for a relaxed Ga2Au2Se crystal.

Properties
Excess energy over the best structure of this formula in the dataset   35 meV/atom
Final energy   -3.23 eV/atom
DOS(E_F)   2.37 states/eV/cell
ΔE_f (raw)   -0.01 eV per atom

Cell: 4.0520 4.0520 6.7855 Å, 72.63 72.63 90.00°
With the nearest neighbours (Å) after each atom.
Fractional coordinates of all 5 atoms:
Se1 0.0000 0.0000 0.0000  8 Au 3.18
Ga1 0.2500 0.7500 0.5000  4 Au 2.64, 4 Ga 2.87
Ga2 0.7500 0.2500 0.5000  4 Au 2.64, 4 Ga 2.87
Au1 0.3878 0.3878 0.2244  4 Ga 2.64, 1 Au 2.76
Au2 0.6122 0.6122 0.7756  4 Ga 2.64, 1 Au 2.76

***

No. 8
A plane-wave DFT calculation with PBE was carried out for a relaxed ReRu2Br crystal.

Properties
Excess energy over the best structure of this formula in the dataset   278 meV/atom
Final energy   -7.38 eV/atom
DOS(E_F)   3.63 states/eV/cell
ΔE_f (raw)   0.79 eV per atom

Cell: 5.1707 5.1707 4.4220 Å, 87.61 87.61 32.27°
With the nearest neighbours (Å) after each atom.
Fractional coordinates of all 4 atoms:
Ru1 0.9950 0.9950 0.0101  4 Br 2.61-2.67, 2 Re 2.69, 4 Ru 2.86-2.87
Ru2 0.7213 0.7213 0.7560  1 Br 2.46, 2 Re 2.58
Br1 0.5019 0.5019 0.5176  5 Ru 2.46-2.67, 1 Re 2.61
Re1 0.2819 0.2819 0.2164  6 Ru 2.58-2.83, 1 Br 2.61, 2 Re 2.87

***

- Number 4 is which compound?
  ThAl2ZnPd4